Computed, not measured: a relaxed Zn2InCu crystal at the GGA-PBE level of DFT.

Computed properties:
VASP energy = -2.258 eV per atom
Symmetry = Immm, No. 71
E_form = 0.0878 eV per atom
Size of the total moment = 0.00 μB/cell

Lattice parameters (Å, degrees): 5.887 5.887 5.887 152.21 133.93 54.66
Sites, in units of the cell vectors:
Zn1 0.216 0.216 0.000
Zn2 0.784 0.784 0.000
In1 0.500 0.000 0.500
Cu1 0.000 0.500 0.500